# 1
The following is a DFT calculation (PBE) of an optimized crystal structure of CdTcSn2.

Lattice parameters (Å, degrees): 3.0298 3.0298 34.7892 90.00 90.00 120.00
Closest atoms and distances in Å follow each position.
Atoms (fractional coordinates):
1 Cd 0.0000 0.0000 0.0000  6 Cd 3.03
2 Cd 0.3333 0.6667 0.6667  6 Cd 3.03
3 Cd 0.6667 0.3333 0.3333  6 Cd 3.03
4 Tc 0.0000 0.0000 0.5000  2 Sn 2.75, 6 Tc 3.03
5 Tc 0.3333 0.6667 0.1667  2 Sn 2.75, 6 Tc 3.03
6 Tc 0.6667 0.3333 0.8333  2 Sn 2.75, 6 Tc 3.03
7 Sn 0.0000 0.0000 0.4209  1 Tc 2.75, 6 Sn 3.03
8 Sn 0.0000 0.0000 0.5791  1 Tc 2.75, 6 Sn 3.03
9 Sn 0.3333 0.6667 0.0876  1 Tc 2.75, 6 Sn 3.03
10 Sn 0.3333 0.6667 0.2457  1 Tc 2.75, 6 Sn 3.03
11 Sn 0.6667 0.3333 0.7543  1 Tc 2.75, 6 Sn 3.03
12 Sn 0.6667 0.3333 0.9124  1 Tc 2.75, 6 Sn 3.03

Properties
The symmetry is R-3m. Its density of states at the Fermi level is 0.923 states/eV per atom. The volume comes out at 276.57 Å³/cell. The formation energy comes out at 229 kJ/mol of formula units.



# 2
The following is a DFT calculation (PBE) of an optimized crystal structure of BaTe2Se.

Lattice parameters (Å, degrees): 4.7867 4.7867 6.2987 90.00 90.00 90.00
Closest atoms and distances in Å follow each position.
Atoms (fractional coordinates):
1 Ba 0.0000 0.0000 0.0000  2 Se 3.15
2 Te 0.5000 0.5000 0.2232  1 Te 2.81
3 Te 0.5000 0.5000 0.7768  1 Te 2.81
4 Se 0.0000 0.0000 0.5000  2 Ba 3.15

Properties
Its energy relative to the elements, uncorrected is -0.591 eV/atom. The symmetry is P4/mmm. Its density of states at the Fermi level is 1.217 states/eV per atom. The volume comes out at 144.32 Å³/cell.